A plane-wave DFT calculation with GGA-PBE was carried out for crystalline Sc2ReSb2 at its relaxed geometry.

**E_form (uncorrected)**: -0.295 eV/atom
**Uncorrected energy**: -6.97 eV/atom
**Calculated volume**: 20.95 Å³ per atom

Cell and atoms, written as POSCAR:
```
Sc2ReSb2
1.0
7.056 0.000 0.000
0.000 7.056 0.000
0.000 0.000 4.207
Sc Re Sb
4 2 4
Direct
0.164 0.336 0.000
0.336 0.836 0.000
0.664 0.164 0.000
0.836 0.664 0.000
0.000 0.000 0.500
0.500 0.500 0.500
0.147 0.647 0.500
0.353 0.147 0.500
0.647 0.853 0.500
0.853 0.353 0.500
```



A plane-wave DFT calculation with GGA-PBE was carried out for crystalline ScReSb2 at its relaxed geometry.

**E_form (uncorrected)**: -0.008 eV/atom
**Uncorrected energy**: -6.76 eV/atom
**E above lowest polymorph**: 96 meV/atom
**Calculated volume**: 20.01 Å³ per atom

Cell and atoms, written as POSCAR:
```
ScReSb2
1.0
3.301 0.000 0.000
0.000 3.301 0.000
0.000 0.000 7.348
Sc Re Sb
1 1 2
Direct
0.000 0.000 0.000
0.000 0.000 0.500
0.500 0.500 0.277
0.500 0.500 0.723
```



A plane-wave DFT calculation with GGA-PBE was carried out for crystalline ScReSb2 at its relaxed geometry.

**E_form (uncorrected)**: 0.173 eV/atom
**Uncorrected energy**: -6.58 eV/atom
**E above lowest polymorph**: 278 meV/atom
**Calculated volume**: 20.08 Å³ per atom

Cell and atoms, written as POSCAR:
```
ScReSb2
1.0
4.189 0.000 0.000
0.000 4.189 0.000
0.000 0.000 9.153
Sc Re Sb
2 2 4
Direct
0.000 0.000 0.000
0.500 0.500 0.500
0.000 0.500 0.750
0.500 0.000 0.250
0.000 0.000 0.500
0.000 0.500 0.250
0.500 0.000 0.750
0.500 0.500 0.000
```



A plane-wave DFT calculation with GGA-PBE was carried out for crystalline ScReSb2 at its relaxed geometry.

**E_form (uncorrected)**: -0.026 eV/atom
**Uncorrected energy**: -6.78 eV/atom
**E above lowest polymorph**: 79 meV/atom
**Calculated volume**: 25.10 Å³ per atom

Cell and atoms, written as POSCAR:
```
ScReSb2
1.0
3.316 0.000 0.000
0.000 4.520 0.000
0.000 0.000 13.400
Sc Re Sb
2 2 4
Direct
0.000 0.000 0.000
0.500 0.500 0.500
0.000 0.000 0.500
0.500 0.500 0.000
0.000 0.500 0.162
0.000 0.500 0.838
0.500 0.000 0.338
0.500 0.000 0.662
```



A plane-wave DFT calculation with GGA-PBE was carried out for crystalline ScReSb2 at its relaxed geometry.

**E_form (uncorrected)**: 0.363 eV/atom
**Uncorrected energy**: -6.39 eV/atom
**E above lowest polymorph**: 468 meV/atom
**Calculated volume**: 22.42 Å³ per atom

Cell and atoms, written as POSCAR:
```
ScReSb2
1.0
4.304 0.000 0.000
0.000 4.304 0.000
0.000 0.000 19.365
Sc Re Sb
4 4 8
Direct
0.000 0.000 0.000
0.000 0.500 0.250
0.500 0.000 0.750
0.500 0.500 0.500
0.000 0.000 0.500
0.000 0.500 0.750
0.500 0.000 0.250
0.500 0.500 0.000
0.234 0.250 0.625
0.250 0.734 0.875
0.250 0.766 0.375
0.266 0.250 0.125
0.734 0.750 0.125
0.750 0.234 0.375
0.750 0.266 0.875
0.766 0.750 0.625
```



A plane-wave DFT calculation with GGA-PBE was carried out for crystalline ScReSb2 at its relaxed geometry.

**E_form (uncorrected)**: 0.098 eV/atom
**Uncorrected energy**: -6.66 eV/atom
**E above lowest polymorph**: 203 meV/atom
**Calculated volume**: 20.59 Å³ per atom

Cell and atoms, written as POSCAR:
```
ScReSb2
1.0
3.474 0.000 0.000
0.000 4.761 0.000
0.000 0.000 9.959
Sc Re Sb
2 2 4
Direct
0.000 0.000 0.000
0.500 0.500 0.500
0.000 0.500 0.737
0.500 0.000 0.237
0.000 0.000 0.451
0.000 0.500 0.236
0.500 0.000 0.736
0.500 0.500 0.951
```